! TmTh4Ni4 | Alexandria via LeMat-Bulk | PBE | relaxed; values from VASP
! ΔH_f (0 K), eV/atom: -0.28
&SYSTEM
  ibrav = 0, nat = 18, ntyp = 3
/
ATOMIC_SPECIES
Tm 168.93 Tm.upf
Th 232.04 Th.upf
Ni 58.69 Ni.upf
CELL_PARAMETERS angstrom
8.570 0.000 0.000
0.000 8.570 0.000
0.000 0.000 5.766
ATOMIC_POSITIONS angstrom
Tm 2.143 2.143 1.442
Tm 6.428 6.428 4.325
Th 0.435 5.722 0.907
Th 1.437 8.136 3.790
Th 2.848 4.720 3.790
Th 3.850 7.134 0.907
Th 4.720 1.437 4.859
Th 5.722 3.850 1.976
Th 7.134 0.435 1.976
Th 8.136 2.848 4.859
Ni 0.242 5.369 3.679
Ni 1.084 8.328 0.795
Ni 3.201 4.528 0.795
Ni 4.043 7.486 3.679
Ni 4.528 1.084 2.088
Ni 5.369 4.043 4.971
Ni 7.486 0.242 4.971
Ni 8.328 3.201 2.088

=====

! Be2AgCl | Alexandria via LeMat-Bulk | PBE | relaxed; values from VASP
! Total energy, eV per atom: -2.510
&SYSTEM
  ibrav = 0, nat = 4, ntyp = 3
/
ATOMIC_SPECIES
Be 9.01 Be.upf
Ag 107.87 Ag.upf
Cl 35.45 Cl.upf
CELL_PARAMETERS angstrom
3.223 0.000 0.000
0.000 3.340 0.000
0.000 0.000 6.091
ATOMIC_POSITIONS angstrom
Be 0.000 0.000 0.000
Be 0.000 1.670 3.045
Ag 1.612 0.000 3.045
Cl 1.612 1.670 0.000

=====

! CsCuSiH6 | Alexandria via LeMat-Bulk | PBE | relaxed; values from VASP
! Total energy, eV per atom: -3.314
&SYSTEM
  ibrav = 0, nat = 9, ntyp = 4
/
ATOMIC_SPECIES
Cs 132.91 Cs.upf
Cu 63.55 Cu.upf
Si 28.09 Si.upf
H 1.01 H.upf
CELL_PARAMETERS angstrom
4.607 0.000 0.000
-2.303 3.990 0.000
0.000 0.000 6.384
ATOMIC_POSITIONS angstrom
Cs 0.000 0.000 0.000
Cu 0.000 2.660 3.192
Si 2.303 1.330 3.192
H 1.686 0.133 4.126
H 0.958 1.393 2.257
H 2.921 0.133 2.257
H 1.576 2.463 4.126
H 3.649 1.393 4.126
H 3.031 2.463 2.257

=====

! CePdRh | Alexandria via LeMat-Bulk | PBE | relaxed; values from VASP
! ΔH_f (0 K), eV/atom: -0.71
&SYSTEM
  ibrav = 0, nat = 6, ntyp = 3
/
ATOMIC_SPECIES
Ce 140.12 Ce.upf
Pd 106.42 Pd.upf
Rh 102.91 Rh.upf
CELL_PARAMETERS angstrom
4.129 0.000 0.000
0.000 4.129 0.000
0.000 0.000 6.813
ATOMIC_POSITIONS angstrom
Ce 1.032 1.032 1.160
Ce 3.097 3.097 5.653
Pd 1.032 3.097 3.406
Pd 3.097 1.032 3.406
Rh 1.032 1.032 5.345
Rh 3.097 3.097 1.468

=====

! HoPuGe2 | Alexandria via LeMat-Bulk | PBE | relaxed; values from VASP
! ΔH_f (0 K), eV/atom: -0.61
&SYSTEM
  ibrav = 0, nat = 8, ntyp = 3
/
ATOMIC_SPECIES
Ho 164.93 Ho.upf
Pu 244.00 Pu.upf
Ge 72.64 Ge.upf
CELL_PARAMETERS angstrom
3.926 0.000 0.000
0.000 5.811 0.000
0.000 0.000 8.105
ATOMIC_POSITIONS angstrom
Ho 0.000 0.786 0.000
Ho 0.000 5.026 4.052
Pu 1.963 2.129 2.940
Pu 1.963 3.682 6.993
Ge 0.000 2.256 5.216
Ge 0.000 3.555 1.164
Ge 1.963 0.609 5.844
Ge 1.963 5.202 1.792

=====

! MgIO2F | Alexandria via LeMat-Bulk | PBE | relaxed; values from VASP
! Total energy, eV per atom: -3.484
&SYSTEM
  ibrav = 0, nat = 5, ntyp = 4
/
ATOMIC_SPECIES
Mg 24.30 Mg.upf
I 126.90 I.upf
O 16.00 O.upf
F 19.00 F.upf
CELL_PARAMETERS angstrom
4.025 0.000 0.000
0.000 4.025 0.000
0.000 0.000 5.885
ATOMIC_POSITIONS angstrom
Mg 0.000 0.000 0.000
I 2.012 2.012 2.943
O 0.000 2.012 2.943
O 2.012 0.000 2.943
F 2.012 2.012 0.000

=====

! TiSi3Pb | Alexandria via LeMat-Bulk | PBE | relaxed; values from VASP
! Total energy, eV per atom: -5.112
&SYSTEM
  ibrav = 0, nat = 5, ntyp = 3
/
ATOMIC_SPECIES
Ti 47.87 Ti.upf
Si 28.09 Si.upf
Pb 207.20 Pb.upf
CELL_PARAMETERS angstrom
4.842 0.000 0.000
0.000 4.842 0.000
0.000 0.000 4.842
ATOMIC_POSITIONS angstrom
Ti 0.000 0.000 0.000
Si 0.000 0.000 2.421
Si 0.000 2.421 0.000
Si 2.421 0.000 0.000
Pb 2.421 2.421 2.421

=====

! SrOs2Se | Alexandria via LeMat-Bulk | PBE | relaxed; values from VASP
! Total energy, eV per atom: -6.180
&SYSTEM
  ibrav = 0, nat = 8, ntyp = 3
/
ATOMIC_SPECIES
Sr 87.62 Sr.upf
Os 190.23 Os.upf
Se 78.96 Se.upf
CELL_PARAMETERS angstrom
5.612 0.000 0.000
0.000 10.936 0.000
-1.412 0.000 2.459
ATOMIC_POSITIONS angstrom
Sr 0.000 0.000 0.000
Sr 2.806 5.468 0.000
Os 1.403 2.734 0.000
Os 1.403 8.202 0.000
Os 4.209 2.734 0.000
Os 4.209 8.202 0.000
Se 0.000 5.468 0.000
Se 2.806 0.000 0.000

=====

! Tb3Y3Pd4 | Alexandria via LeMat-Bulk | PBE | relaxed; values from VASP
! ΔH_f (0 K), eV/atom: -0.72
&SYSTEM
  ibrav = 0, nat = 10, ntyp = 3
/
ATOMIC_SPECIES
Tb 158.93 Tb.upf
Y 88.91 Y.upf
Pd 106.42 Pd.upf
CELL_PARAMETERS angstrom
3.946 0.000 0.000
0.000 5.549 5.551
0.000 -5.549 5.551
ATOMIC_POSITIONS angstrom
Tb 0.000 0.000 0.000
Tb 0.000 -1.833 7.378
Tb 0.000 1.833 7.378
Y 0.000 0.000 3.667
Y 1.973 -2.772 4.602
Y 1.973 2.772 4.602
Pd 1.973 -1.460 1.823
Pd 1.973 1.460 1.823
Pd 1.973 0.000 5.928
Pd 1.973 0.000 8.840

=====

! SrAl3H | Alexandria via LeMat-Bulk | PBE | relaxed; values from VASP
! Total energy, eV per atom: -3.071
&SYSTEM
  ibrav = 0, nat = 5, ntyp = 3
/
ATOMIC_SPECIES
Sr 87.62 Sr.upf
Al 26.98 Al.upf
H 1.01 H.upf
CELL_PARAMETERS angstrom
4.534 0.000 0.000
0.000 4.534 0.000
0.000 0.000 4.534
ATOMIC_POSITIONS angstrom
Sr 0.000 0.000 0.000
Al 0.000 2.267 2.267
Al 2.267 0.000 2.267
Al 2.267 2.267 0.000
H 2.267 2.267 2.267

=====

! YZrTa2In | Alexandria via LeMat-Bulk | PBE | relaxed; values from VASP
! ΔH_f (0 K), eV/atom: 1.40
&SYSTEM
  ibrav = 0, nat = 5, ntyp = 4
/
ATOMIC_SPECIES
Y 88.91 Y.upf
Zr 91.22 Zr.upf
Ta 180.95 Ta.upf
In 114.82 In.upf
CELL_PARAMETERS angstrom
4.955 0.000 0.000
0.000 4.955 0.000
0.000 0.000 5.504
ATOMIC_POSITIONS angstrom
Y 0.000 0.000 0.000
Zr 0.000 0.000 2.752
Ta 0.000 2.477 2.752
Ta 2.477 0.000 2.752
In 2.477 2.477 0.000

=====

! Pm2Pd9Au6 | Alexandria via LeMat-Bulk | PBE | relaxed; values from VASP
! ΔH_f (0 K), eV/atom: -0.31
&SYSTEM
  ibrav = 0, nat = 17, ntyp = 3
/
ATOMIC_SPECIES
Pm 145.00 Pm.upf
Pd 106.42 Pd.upf
Au 196.97 Au.upf
CELL_PARAMETERS angstrom
5.422 0.000 0.000
-2.711 4.696 0.000
0.000 0.000 13.726
ATOMIC_POSITIONS angstrom
Pm 0.000 0.000 2.904
Pm 0.000 0.000 10.822
Pd -1.356 2.348 0.000
Pd -1.356 2.348 4.575
Pd -1.356 2.348 9.151
Pd 2.711 0.000 0.000
Pd 2.711 0.000 4.575
Pd 2.711 0.000 9.151
Pd 1.356 2.348 0.000
Pd 1.356 2.348 4.575
Pd 1.356 2.348 9.151
Au 0.000 3.131 2.276
Au 0.000 3.131 6.863
Au 0.000 3.131 11.450
Au 2.711 1.565 2.276
Au 2.711 1.565 6.863
Au 2.711 1.565 11.450

=====

! Sr2ZrTlO6 | Alexandria via LeMat-Bulk | PBE | relaxed; values from VASP
! Total energy, eV per atom: -6.673
&SYSTEM
  ibrav = 0, nat = 20, ntyp = 4
/
ATOMIC_SPECIES
Sr 87.62 Sr.upf
Zr 91.22 Zr.upf
Tl 204.38 Tl.upf
O 16.00 O.upf
CELL_PARAMETERS angstrom
5.913 0.000 0.000
0.000 6.050 0.000
-5.876 0.000 8.403
ATOMIC_POSITIONS angstrom
Sr -0.064 0.285 2.083
Sr -3.002 2.740 6.285
Sr 3.040 3.310 2.118
Sr 0.102 5.766 6.320
Zr 2.957 0.000 0.000
Zr 0.019 3.025 4.202
Tl -2.938 0.000 4.202
Tl 0.000 3.025 0.000
O -4.619 1.196 8.011
O -1.681 1.830 3.809
O -4.075 4.340 7.948
O -1.137 4.735 3.747
O -2.363 0.220 6.376
O 0.575 2.805 2.175
O -0.538 3.245 6.228
O 2.400 5.830 2.027
O 1.175 1.315 4.656
O 4.113 1.710 0.455
O 1.719 4.221 4.594
O 4.657 4.855 0.392

=====

! CaSi2Os | Alexandria via LeMat-Bulk | PBE | relaxed; values from VASP
! Total energy, eV per atom: -6.459
&SYSTEM
  ibrav = 0, nat = 16, ntyp = 3
/
ATOMIC_SPECIES
Ca 40.08 Ca.upf
Si 28.09 Si.upf
Os 190.23 Os.upf
CELL_PARAMETERS angstrom
7.118 0.000 0.000
0.000 4.092 0.000
0.000 0.000 10.017
ATOMIC_POSITIONS angstrom
Ca 1.053 1.023 1.241
Ca 2.506 3.069 6.249
Ca 4.613 1.023 3.768
Ca 6.065 3.069 8.776
Si 1.116 1.023 8.121
Si 1.376 1.023 4.218
Si 2.183 3.069 9.226
Si 2.443 3.069 3.113
Si 4.675 1.023 6.904
Si 4.935 1.023 0.791
Si 5.742 3.069 5.799
Si 6.002 3.069 1.896
Os 0.099 3.069 3.914
Os 3.460 1.023 8.922
Os 3.658 3.069 1.094
Os 7.019 1.023 6.103

=====

! BaTlIn2Co | Alexandria via LeMat-Bulk | PBE | relaxed; values from VASP
! ΔH_f (0 K), eV/atom: 1.25
&SYSTEM
  ibrav = 0, nat = 5, ntyp = 4
/
ATOMIC_SPECIES
Ba 137.33 Ba.upf
Tl 204.38 Tl.upf
In 114.82 In.upf
Co 58.93 Co.upf
CELL_PARAMETERS angstrom
5.828 0.000 0.000
0.000 5.828 0.000
0.000 0.000 4.734
ATOMIC_POSITIONS angstrom
Ba 0.000 0.000 0.000
Tl 2.914 2.914 2.367
In 0.000 2.914 0.000
In 2.914 0.000 0.000
Co 0.000 0.000 2.367

=====

! Dy4CdIn2 | Alexandria via LeMat-Bulk | PBE | relaxed; values from VASP
! ΔH_f (0 K), eV/atom: -0.19
&SYSTEM
  ibrav = 0, nat = 14, ntyp = 3
/
ATOMIC_SPECIES
Dy 162.50 Dy.upf
Cd 112.41 Cd.upf
In 114.82 In.upf
CELL_PARAMETERS angstrom
7.316 0.000 0.000
0.000 6.597 0.000
-3.304 0.000 8.401
ATOMIC_POSITIONS angstrom
Dy 0.484 1.649 0.442
Dy -1.251 0.043 6.067
Dy -1.251 3.255 6.067
Dy 1.193 4.948 2.761
Dy 2.819 1.649 5.639
Dy 5.263 3.341 2.334
Dy 5.263 6.554 2.334
Dy 3.528 4.948 7.959
Cd 1.247 4.948 5.881
Cd 2.765 1.649 2.520
In 0.208 1.649 3.717
In 3.160 4.948 0.264
In 0.851 1.649 8.137
In 3.803 4.948 4.684

=====

! Mg2NbC2 | Alexandria via LeMat-Bulk | PBE | relaxed; values from VASP
! ΔH_f (0 K), eV/atom: 1.26
&SYSTEM
  ibrav = 0, nat = 10, ntyp = 3
/
ATOMIC_SPECIES
Mg 24.30 Mg.upf
Nb 92.91 Nb.upf
C 12.01 C.upf
CELL_PARAMETERS angstrom
4.031 0.000 0.000
0.000 4.031 0.000
0.000 0.000 8.003
ATOMIC_POSITIONS angstrom
Mg 0.000 0.000 1.278
Mg 0.000 0.000 6.725
Mg 2.016 2.016 2.724
Mg 2.016 2.016 5.280
Nb 0.000 0.000 4.002
Nb 2.016 2.016 0.000
C 0.000 2.016 2.001
C 0.000 2.016 6.002
C 2.016 0.000 2.001
C 2.016 0.000 6.002

=====

! Ho2VFe | Alexandria via LeMat-Bulk | PBE | relaxed; values from VASP
! ΔH_f (0 K), eV/atom: 0.75
&SYSTEM
  ibrav = 0, nat = 12, ntyp = 3
/
ATOMIC_SPECIES
Ho 164.93 Ho.upf
V 50.94 V.upf
Fe 55.84 Fe.upf
CELL_PARAMETERS angstrom
3.233 0.000 0.000
-1.616 2.800 0.000
0.000 0.000 29.086
ATOMIC_POSITIONS angstrom
Ho 0.000 0.000 2.870
Ho 0.000 0.000 26.216
Ho 0.000 1.866 16.521
Ho 0.000 1.866 22.261
Ho 1.616 0.933 6.825
Ho 1.616 0.933 12.565
V 0.000 0.000 0.000
V 0.000 1.866 19.391
V 1.616 0.933 9.695
Fe 0.000 0.000 14.543
Fe 0.000 1.866 4.848
Fe 1.616 0.933 24.239

=====

! AuN3O | Alexandria via LeMat-Bulk | PBE | relaxed; values from VASP
! Total energy, eV per atom: -3.731
&SYSTEM
  ibrav = 0, nat = 5, ntyp = 3
/
ATOMIC_SPECIES
Au 196.97 Au.upf
N 14.01 N.upf
O 16.00 O.upf
CELL_PARAMETERS angstrom
3.604 0.000 0.000
0.000 3.604 0.000
0.000 0.000 3.604
ATOMIC_POSITIONS angstrom
Au 0.000 0.000 0.000
N 0.000 1.802 1.802
N 1.802 0.000 1.802
N 1.802 1.802 0.000
O 1.802 1.802 1.802

=====

! KLa2Cd | Alexandria via LeMat-Bulk | PBE | relaxed; values from VASP
! ΔH_f (0 K), eV/atom: 0.19
&SYSTEM
  ibrav = 0, nat = 8, ntyp = 3
/
ATOMIC_SPECIES
K 39.10 K.upf
La 138.91 La.upf
Cd 112.41 Cd.upf
CELL_PARAMETERS angstrom
7.070 0.000 0.000
0.000 12.632 0.000
-1.532 0.000 3.195
ATOMIC_POSITIONS angstrom
K 0.000 0.000 0.000
K 3.535 6.316 0.000
La 1.002 3.158 1.598
La 1.002 9.474 1.598
La 4.537 3.158 1.598
La 4.537 9.474 1.598
Cd 0.000 6.316 0.000
Cd 3.535 0.000 0.000

=====

! Tb4Ga5Ge6 | Alexandria via LeMat-Bulk | PBE | relaxed; values from VASP
! ΔH_f (0 K), eV/atom: -0.47
&SYSTEM
  ibrav = 0, nat = 30, ntyp = 3
/
ATOMIC_SPECIES
Tb 158.93 Tb.upf
Ga 69.72 Ga.upf
Ge 72.64 Ge.upf
CELL_PARAMETERS angstrom
2.053 -9.562 0.000
2.053 9.562 0.000
0.000 0.000 16.585
ATOMIC_POSITIONS angstrom
Tb 2.053 9.182 8.292
Tb 2.053 8.566 12.986
Tb 2.053 6.440 5.048
Tb 2.053 5.922 16.058
Tb 2.053 -5.922 7.765
Tb 2.053 -6.440 13.341
Tb 2.053 -8.566 4.693
Tb 2.053 -9.182 0.000
Ga 2.053 7.018 10.548
Ga 2.053 3.830 10.407
Ga 2.053 3.412 5.494
Ga 2.053 2.924 15.544
Ga 2.053 1.195 11.731
Ga 2.053 -1.195 3.439
Ga 2.053 -2.924 7.252
Ga 2.053 -3.412 13.787
Ga 2.053 -3.830 2.115
Ga 2.053 -7.018 2.256
Ge 2.053 7.466 2.069
Ge 2.053 5.815 8.384
Ge 2.053 5.391 12.560
Ge 2.053 1.506 7.064
Ge 2.053 0.984 2.198
Ge 2.053 0.863 14.242
Ge 2.053 -0.863 5.949
Ge 2.053 -0.984 10.490
Ge 2.053 -1.506 15.356
Ge 2.053 -5.391 4.267
Ge 2.053 -5.815 0.092
Ge 2.053 -7.466 10.361

=====

! Dy6Tm12Sc | Alexandria via LeMat-Bulk | PBE | relaxed; values from VASP
! ΔH_f (0 K), eV/atom: 0.23
&SYSTEM
  ibrav = 0, nat = 19, ntyp = 3
/
ATOMIC_SPECIES
Dy 162.50 Dy.upf
Tm 168.93 Tm.upf
Sc 44.96 Sc.upf
CELL_PARAMETERS angstrom
6.457 3.728 4.149
-6.457 3.728 4.149
0.000 -7.456 4.149
ATOMIC_POSITIONS angstrom
Dy -2.808 -1.621 5.616
Dy 0.000 -3.242 6.830
Dy -2.808 1.621 6.830
Dy 2.808 -1.621 5.616
Dy 0.000 3.242 5.616
Dy 2.808 1.621 6.830
Tm -1.660 -4.581 4.149
Tm -4.797 0.853 4.149
Tm 0.000 -2.019 2.941
Tm -1.748 1.009 2.941
Tm 1.660 -4.581 4.149
Tm -3.137 3.728 4.149
Tm 1.748 1.009 2.941
Tm -1.748 -1.009 9.505
Tm 4.797 0.853 4.149
Tm 3.137 3.728 4.149
Tm 1.748 -1.009 9.505
Tm 0.000 2.019 9.505
Sc 0.000 0.000 6.223

=====

These records have N(E_F) values of 19.018, 1.511, 0.129, 6.489, 21.108, 1.765, 3.331, 8.904, 8.725, 3.509, 8.441, 8.687, 14.584, 7.020, 6.408, 13.806, 9.752, 14.950, 4.278, 9.387, 9.693, 33.254 states/eV/cell, in the order they appear.